Fe3OF5 | PBE with a Hubbard U | relaxed

Cell: 4.8158 5.8048 7.9679 Å, 86.25 89.24 89.20°
Last column: magnetic moment on the atom in μB.
Positions (direct):
F (0.3013, 0.1287, 0.5714)  0.07
F (0.2962, 0.7941, 0.9022)  0.09
F (0.2060, 0.9734, 0.2365)  0.07
F (0.7940, 0.0266, 0.7635)  0.07
F (0.7038, 0.2059, 0.0978)  0.09
F (0.2125, 0.2930, 0.9009)  0.09
F (0.7966, 0.3575, 0.4327)  0.07
F (0.6987, 0.8713, 0.4286)  0.07
F (0.2034, 0.6425, 0.5673)  0.07
F (0.7875, 0.7070, 0.0991)  0.09
O (0.3170, 0.4625, 0.2173)  0.26
O (0.6830, 0.5375, 0.7827)  0.26
Fe (0.5220, 0.8123, 0.6644)  4.16
Fe (0.5000, 0.5000, 0.0000)  4.41
Fe (0.4780, 0.1877, 0.3356)  4.16
Fe (0.0000, 0.0000, 0.0000)  3.82
Fe (0.9783, 0.3480, 0.6766)  3.81
Fe (0.0217, 0.6520, 0.3234)  3.81

Calculated values
- calculated density (g cm⁻³) = 4.16
- symmetry = P-1
- electronic total energy (eV/atom) = -5.674
- total magnetic moment (μB/cell) = 26.00